(1)
Computed, not measured: crystalline Cs3SnPb2Br9 at its relaxed geometry at the GGA-PBE level of DFT.

Geometry as extended XYZ:
```
15
Lattice="8.427 0.000 0.000 -4.214 7.298 0.000 0.000 0.000 10.320" Properties=species:S:1:pos:R:3 pbc="T T T"
Cs 0.000 4.866 6.880
Cs 4.214 2.433 3.440
Cs 0.000 0.000 0.000
Sn 0.000 0.000 5.160
Br 0.000 2.405 3.466
Br 4.214 4.894 6.854
Br 2.107 3.649 0.000
Br -2.107 3.649 0.000
Br 4.214 0.000 0.000
Br 6.345 1.202 6.854
Br -2.131 6.096 3.466
Br 2.083 1.202 6.854
Br 2.131 6.096 3.466
Pb 0.000 4.866 1.748
Pb 4.214 2.433 8.572
```

Output
space group = P-3m1 (164)
mass density = 4.3 g/cm3
uncorrected formation energy = -1.266 eV per atom
total moment = 0.00 μB/atom

(2)
Computed, not measured: crystalline Ac12TmCo7 at its relaxed geometry at the GGA-PBE level of DFT.

Geometry as extended XYZ:
```
20
Lattice="8.842 -0.172 -2.679 -3.564 8.093 -2.679 -0.114 -0.172 9.238" Properties=species:S:1:pos:R:3 pbc="T T T"
Co 2.601 0.854 -1.036
Co 6.218 5.021 3.798
Co 4.271 7.672 1.094
Co 2.582 3.875 1.940
Co 0.892 0.078 2.786
Co 2.563 6.897 4.917
Co -1.055 2.729 0.082
Ac 3.336 1.102 1.817
Ac 1.827 6.648 2.064
Ac -0.093 6.100 5.601
Ac 1.596 0.460 5.527
Ac 1.671 3.504 -0.762
Ac -1.792 5.486 -0.004
Ac -0.012 2.892 2.700
Ac 6.955 2.264 3.885
Ac 5.176 4.859 1.181
Ac 3.568 7.291 -1.647
Ac 3.492 4.247 4.643
Ac 5.256 1.650 -1.720
Tm 0.000 0.000 0.000
```

Output
space group = R-3 (148)
mass density = 8.5 g/cm3
total moment = 0.00 μB/atom
formation energy = -0.349 eV per formula unit

(3)
Computed, not measured: crystalline La3Sc at its relaxed geometry at the GGA-PBE level of DFT.

Geometry as extended XYZ:
```
4
Lattice="5.066 0.000 0.000 0.000 5.066 0.000 -2.533 -2.533 5.156" Properties=species:S:1:pos:R:3 pbc="T T T"
La 2.533 2.533 0.000
La 0.000 2.533 2.578
La 2.533 0.000 2.578
Sc 0.000 0.000 0.000
```

Output
space group = I4/mmm (139)
mass density = 5.8 g/cm3
total moment = 0.00 μB/atom
formation energy = 0.164 eV per formula unit

(4)
Computed, not measured: crystalline YAlP2F at its relaxed geometry at the GGA-PBE level of DFT.

Geometry as extended XYZ:
```
5
Lattice="-5.106 1.582 0.392 -1.070 -3.814 1.456 0.900 1.662 5.016" Properties=species:S:1:pos:R:3 pbc="T T T"
P -2.553 0.791 0.196
P 0.450 0.831 2.508
F -0.535 -1.907 0.728
Al -2.638 -0.285 3.432
Y 0.000 0.000 0.000
```

Output
space group = P4/mmm (123)
mass density = 2.7 g/cm3
uncorrected formation energy = -0.588 eV per atom
total moment = 0.00 μB/atom

(5)
Computed, not measured: crystalline ScCdBi2O8 at its relaxed geometry at the GGA-PBE level of DFT.

Geometry as extended XYZ:
```
12
Lattice="-2.631 -1.592 -3.955 1.857 -4.635 0.381 -5.113 -1.712 4.091" Properties=species:S:1:pos:R:3 pbc="T T T"
O -2.934 -2.595 -2.146
O -3.085 -5.137 -0.407
O -2.953 -5.344 2.664
O -5.666 -3.510 0.040
O -2.802 -2.803 0.924
O -5.651 -6.051 1.603
O -0.220 -4.429 0.478
O -0.236 -1.889 -1.086
Cd -2.556 -0.856 2.045
Bi -1.661 -3.540 -0.767
Bi -4.226 -4.399 1.284
Sc 0.000 0.000 0.000
```

Output
space group = Cmmm (65)
mass density = 6.9 g/cm3
uncorrected formation energy = -1.275 eV per atom
total moment = 0.06 μB/atom

(6)
Computed, not measured: crystalline Ni2SbTe2 at its relaxed geometry at the GGA-PBE level of DFT.

Geometry as extended XYZ:
```
5
Lattice="-2.723 -2.727 0.166 0.823 -3.459 1.496 -2.883 0.640 8.039" Properties=species:S:1:pos:R:3 pbc="T T T"
Ni -1.694 -3.611 2.529
Ni -3.089 -1.935 7.172
Te -3.398 -4.387 6.646
Te -1.385 -1.159 3.055
Sb 0.000 0.000 0.000
```

Output
space group = R-3m (166)
mass density = 7.7 g/cm3
distance to the lowest polymorph of the same formula = 0.80 eV per formula unit
uncorrected formation energy = -0.111 eV per atom
total moment = 0.00 μB/atom

(7)
Computed, not measured: crystalline MgPaRuPt at its relaxed geometry at the GGA-PBE level of DFT.

Geometry as extended XYZ:
```
4
Lattice="4.739 0.000 0.000 2.370 4.104 0.000 2.370 1.368 3.870" Properties=species:S:1:pos:R:3 pbc="T T T"
Pt 7.109 4.104 2.902
Ru 2.370 1.368 0.967
Pa 0.000 0.000 0.000
Mg 4.739 2.736 1.935
```

Output
space group = F-43m (216)
mass density = 12.2 g/cm3
distance to the lowest polymorph of the same formula = 0.04 eV per formula unit
total moment = 0.00 μB/atom
formation energy = -2.269 eV per formula unit

(8)
Computed, not measured: crystalline Na5ZnCl8 at its relaxed geometry at the GGA-PBE level of DFT.

Geometry as extended XYZ:
```
14
Lattice="8.059 0.000 0.000 4.029 6.979 0.000 4.029 2.326 6.580" Properties=species:S:1:pos:R:3 pbc="T T T"
Cl 12.088 4.815 5.700
Cl 12.088 6.979 2.640
Cl 13.962 8.061 5.700
Cl 8.059 7.105 2.423
Cl 10.214 8.061 5.700
Cl 10.182 3.427 2.423
Cl 8.059 4.653 5.891
Cl 5.935 3.427 2.423
Na 8.059 4.653 0.797
Na 0.000 0.000 0.000
Na 10.094 5.828 4.121
Na 8.059 2.302 4.121
Na 6.023 5.828 4.121
Zn 4.029 2.326 1.645
```

Output
space group = F-43m (216)
mass density = 2.1 g/cm3
uncorrected formation energy = -1.426 eV per atom
total moment = 0.09 μB/atom

Number 1: final energy -3.202 eV per atom. Number 2: final energy -5.193 eV per atom. Number 3: final energy -5.237 eV per atom. Number 4: final energy -5.167 eV per atom. Number 5: final energy -5.832 eV per atom. Number 6: final energy -4.504 eV per atom. Number 7: final energy -7.169 eV per atom. Number 8: final energy -3.043 eV per atom.